Record 1
Computed, not measured: crystalline PdS2Br2Cl4 at its relaxed geometry at the PBE-GGA level of DFT.

Calculated values
- Final energy: -26.2 eV for the cell shown
- Polymorph energy (0 for the lowest one): 0 meV/atom

Cell and atoms, written as POSCAR:
```
PdS2Br2Cl4
1.0
-0.120 3.344 -3.114
3.522 -4.322 -4.215
-7.965 -2.537 -0.539
Pd Cl S Br
1 4 2 2
Cartesian
0.000 0.000 0.000
-2.880 -1.101 -1.864
-0.037 -2.366 -2.431
-1.683 -2.414 -6.003
-4.525 -1.149 -5.437
-0.920 -0.544 -2.045
-3.642 -2.971 -5.823
1.643 -1.797 -5.804
-6.205 -1.718 -2.064
```

Record 2
Computed, not measured: crystalline Tl2PdBrCl3 at its relaxed geometry at the PBE-GGA level of DFT.

Calculated values
- Final energy: -22.6 eV for the cell shown

Cell and atoms, written as POSCAR:
```
Tl2PdBrCl3
1.0
4.288 0.000 0.000
0.000 5.238 5.074
0.000 -5.238 5.074
Cl Tl Br Pd
3 2 1 1
Cartesian
0.000 -2.909 5.055
0.000 0.000 7.789
0.000 2.909 5.055
2.144 -2.530 7.598
2.144 2.530 7.598
0.000 0.000 2.441
0.000 0.000 10.128
```